Entry 1:
A plane-wave DFT calculation with PBE was carried out for crystalline SbW2Cl at its relaxed geometry.

a b c (Å): 3.2577 5.0668 10.0560
angles (deg): 90.00 90.00 90.00
Element x y z (fractional)
Sb  0.0000  0.0000  0.0000
Sb  0.5000  0.5000  0.0000
W  0.0000  0.0000  0.4400
W  0.0000  0.5000  0.2406
W  0.5000  0.0000  0.2406
W  0.5000  0.5000  0.4400
Cl  0.0000  0.5000  0.6421
Cl  0.5000  0.0000  0.6421

**Energy above the lowest structure with this stoichiometry**: 31.00 kJ/mol of atoms
**E_tot**: -0.559 Ry per atom
**SG**: No. 35

---

Entry 2:
A plane-wave DFT calculation with PBE was carried out for crystalline Pm2ThTi at its relaxed geometry.

a b c (Å): 3.4320 3.4320 35.5227
angles (deg): 90.00 90.00 120.00
Element x y z (fractional)
Pm  0.0000  0.0000  0.0844
Pm  0.0000  0.0000  0.9156
Pm  0.3333  0.6667  0.5823
Pm  0.3333  0.6667  0.7511
Pm  0.6667  0.3333  0.2489
Pm  0.6667  0.3333  0.4177
Th  0.0000  0.0000  0.5000
Th  0.3333  0.6667  0.1667
Th  0.6667  0.3333  0.8333
Ti  0.0000  0.0000  0.0000
Ti  0.3333  0.6667  0.6667
Ti  0.6667  0.3333  0.3333

**Formation energy from the elements**: 0.45 eV/atom
**E_tot**: -0.423 Ry per atom
**SG**: No. 166

---

Entry 3:
A plane-wave DFT calculation with PBE was carried out for crystalline SrPuRhAu at its relaxed geometry.

a b c (Å): 7.2536 7.2536 7.2536
angles (deg): 90.00 90.00 90.00
Element x y z (fractional)
Sr  0.0000  0.0000  0.0000
Sr  0.0000  0.5000  0.5000
Sr  0.5000  0.0000  0.5000
Sr  0.5000  0.5000  0.0000
Pu  0.0000  0.0000  0.5000
Pu  0.0000  0.5000  0.0000
Pu  0.5000  0.0000  0.0000
Pu  0.5000  0.5000  0.5000
Rh  0.2500  0.2500  0.7500
Rh  0.2500  0.7500  0.2500
Rh  0.7500  0.2500  0.2500
Rh  0.7500  0.7500  0.7500
Au  0.2500  0.2500  0.2500
Au  0.2500  0.7500  0.7500
Au  0.7500  0.2500  0.7500
Au  0.7500  0.7500  0.2500

**Formation energy from the elements**: -0.31 eV/atom
**E_tot**: -0.512 Ry per atom
**SG**: No. 216

---

Entry 4:
A plane-wave DFT calculation with PBE was carried out for crystalline ZrAgS2N at its relaxed geometry.

a b c (Å): 4.7334 4.7334 3.9915
angles (deg): 90.00 90.00 90.00
Element x y z (fractional)
Zr  0.0000  0.0000  0.0000
Ag  0.5000  0.5000  0.5000
S  0.0000  0.5000  0.5000
S  0.5000  0.0000  0.5000
N  0.5000  0.5000  0.0000

**Energy above the lowest structure with this stoichiometry**: 74.39 kJ/mol of atoms
**E_tot**: -0.355 Ry per atom
**SG**: No. 123

---

Entry 5:
A plane-wave DFT calculation with PBE was carried out for crystalline Tb2Sc at its relaxed geometry.

a b c (Å): 3.4074 5.6141 9.5759
angles (deg): 90.00 90.00 90.00
Element x y z (fractional)
Tb  0.0000  0.0000  0.1884
Tb  0.0000  0.0000  0.8116
Tb  0.5000  0.5000  0.3116
Tb  0.5000  0.5000  0.6884
Sc  0.0000  0.5000  0.0000
Sc  0.5000  0.0000  0.5000

**Energy above the lowest structure with this stoichiometry**: 14.84 kJ/mol of atoms
**Formation energy from the elements**: 0.20 eV/atom
**E_tot**: -0.367 Ry per atom
**SG**: No. 71

---

no.,total magnetic moment (μB/f.u.)
1,0.0
2,2.0
3,5.5
4,0.0
5,0.0